! PBE-GGA BaNpO5, optimized geometry; values from VASP
&SYSTEM
  ibrav = 0, nat = 7, ntyp = 3
/
ATOMIC_SPECIES
Ba 137.33 Ba.upf
Np 237.00 Np.upf
O 16.00 O.upf
CELL_PARAMETERS angstrom
-3.9684 1.0605 1.6412
-2.2557 -4.5935 3.4746
0.3987 1.4205 6.0070
ATOMIC_POSITIONS angstrom
Ba -2.9127 -1.0563 5.5614
Np 0.0000 0.0000 0.0000
O -3.5348 0.1909 3.2517
O -0.3337 -0.2390 5.3082
O -1.9842 0.5302 0.8206
O -1.5232 -2.9340 4.1734
O -2.2906 -2.3034 7.8710
! - Space-group type: Immm, No. 71
! - Total energy: -8.099 eV per atom


! PBE-GGA Ba3NpO7, optimized geometry; values from VASP
&SYSTEM
  ibrav = 0, nat = 11, ntyp = 3
/
ATOMIC_SPECIES
Ba 137.33 Ba.upf
Np 237.00 Np.upf
O 16.00 O.upf
CELL_PARAMETERS angstrom
-5.5024 -1.3596 -2.1791
2.3845 -3.4807 -4.3672
-1.5729 -6.6291 0.7567
ATOMIC_POSITIONS angstrom
Ba -4.5193 -4.9819 -2.3259
Ba -3.0992 -8.8547 -2.5871
Ba -0.1094 -6.1679 -3.5494
Np -1.5514 -6.4649 0.6750
O -0.6816 -1.5785 -0.9265
O -3.9454 -2.3429 -1.5635
O -5.8053 -7.3826 -3.0234
O 1.0690 -3.6915 -2.9547
O -2.5929 -6.4225 -3.1198
O -0.6178 -8.7777 -4.4626
O -3.9569 -9.5730 -4.9825
! - Space-group type: Cm, No. 8
! - Total energy: -7.426 eV per atom


! PBE-GGA Ba5NpO8, optimized geometry; values from VASP
&SYSTEM
  ibrav = 0, nat = 14, ntyp = 3
/
ATOMIC_SPECIES
Ba 137.33 Ba.upf
Np 237.00 Np.upf
O 16.00 O.upf
CELL_PARAMETERS angstrom
-5.6912 -3.6788 -1.9334
3.8569 -3.6279 4.6501
-2.3132 6.0231 2.8340
ATOMIC_POSITIONS angstrom
Ba 1.1150 -0.5702 2.2672
Ba -2.0743 -4.7499 3.0544
Ba -3.3928 -1.2609 3.0732
Ba -4.0022 1.1722 0.4503
Ba -3.9428 4.0140 2.7068
Np -1.2293 1.7837 3.9673
O -0.5303 2.6037 5.6427
O -1.0952 3.5294 3.0172
O -4.1656 -1.5136 0.6480
O -4.2057 1.5035 3.1202
O -1.0360 -2.4666 2.5537
O -1.8555 0.1821 4.9727
O -1.4361 0.8196 2.2364
O 1.1123 -0.0904 4.7797
! - Space-group type: I-4, No. 82
! - Total energy: -6.990 eV per atom


! PBE-GGA BaNpP2O8, optimized geometry; values from VASP
&SYSTEM
  ibrav = 0, nat = 24, ntyp = 4
/
ATOMIC_SPECIES
Ba 137.33 Ba.upf
Np 237.00 Np.upf
P 30.97 P.upf
O 16.00 O.upf
CELL_PARAMETERS angstrom
6.9458 -0.0148 -0.0221
4.8169 5.0042 -0.0221
1.9003 0.8060 9.3917
ATOMIC_POSITIONS angstrom
Ba 2.4084 2.5021 -0.0111
Ba 4.4230 0.3956 4.6848
Np 5.6867 4.2751 2.3258
Np 7.9762 1.5203 7.0217
P 5.5981 0.9598 1.0134
P 8.1318 2.0346 3.6382
P 8.0648 4.8356 8.3340
P 5.5310 3.7608 5.7093
O 10.2729 4.6637 1.8437
O 2.2197 1.2478 2.8079
O 3.3900 1.1317 7.5038
O 11.4432 4.5476 6.5395
O 4.9356 2.1847 1.7032
O 7.7116 3.3623 2.9484
O 8.7273 3.6107 7.6443
O 5.9513 2.4331 6.3991
O 7.1211 1.1443 0.8461
O 6.9407 1.0678 3.8055
O 6.5418 4.6511 8.5013
O 6.7222 4.7276 5.5420
O 6.7837 1.5903 9.0275
O 8.7547 2.4263 5.0158
O 6.8791 4.2051 0.3199
O 4.9082 3.3691 4.3317
! - Polymorph energy (0 for the lowest one): 0.000 eV/atom
! - Space-group type: C2/c, No. 15
! - Total energy: -8.152 eV per atom


! PBE-GGA BaNpP2O8, optimized geometry; values from VASP
&SYSTEM
  ibrav = 0, nat = 12, ntyp = 4
/
ATOMIC_SPECIES
Ba 137.33 Ba.upf
Np 237.00 Np.upf
P 30.97 P.upf
O 16.00 O.upf
CELL_PARAMETERS angstrom
5.0918 0.0000 0.0000
2.5459 4.4096 0.0000
2.5459 1.4699 8.0700
ATOMIC_POSITIONS angstrom
Ba 0.0000 0.0000 0.0000
Np 5.0918 2.9398 4.0350
P 7.6377 4.4096 6.0099
P 2.5459 1.4699 2.0602
O 7.6377 4.4096 7.5343
O 2.5459 1.4699 0.5357
O 4.0066 1.5739 2.6005
O 6.8173 3.1966 5.4696
O 4.0066 4.3056 5.4696
O 4.4515 4.5625 2.6005
O 6.8173 2.6829 2.6005
O 4.4515 1.3170 5.4696
! - Polymorph energy (0 for the lowest one): 0.036 eV/atom
! - Space-group type: R32, No. 155
! - Total energy: -8.116 eV per atom


! PBE-GGA Ba4NpPa3O12, optimized geometry; values from VASP
&SYSTEM
  ibrav = 0, nat = 20, ntyp = 4
/
ATOMIC_SPECIES
Ba 137.33 Ba.upf
Np 237.00 Np.upf
Pa 231.04 Pa.upf
O 16.00 O.upf
CELL_PARAMETERS angstrom
-1.0471 -4.1041 -6.5359
-1.0000 -4.6454 6.1708
-5.1686 5.8200 0.2671
ATOMIC_POSITIONS angstrom
Ba -3.6079 -1.4648 -0.0490
Ba -2.5843 2.9100 0.1335
Ba -0.5235 -2.0520 -3.2680
Ba -0.5000 -2.3227 3.0854
Np 0.0000 0.0000 0.0000
Pa -3.1078 0.8579 -3.1344
Pa -1.0235 -4.3748 -0.1826
Pa -3.0843 0.5873 3.2189
O -4.6383 1.0162 1.6517
O -4.6333 1.2791 -4.6729
O -1.5824 0.4368 -1.5959
O -2.5775 -3.9458 -1.7498
O -1.5259 -6.5220 -0.2722
O -0.5211 -2.2275 -0.0930
O -3.6196 -1.3294 -3.2257
O -3.5961 -1.6001 3.1276
O -4.6500 1.1516 -1.5250
O -4.5982 0.8755 4.7989
O -2.5657 -4.0811 1.4269
O -1.5704 0.2990 1.6390
! - Space-group type: Im-3m, No. 229
! - Total energy: -8.542 eV per atom


! PBE-GGA BaNpPaO6, optimized geometry; values from VASP
&SYSTEM
  ibrav = 0, nat = 18, ntyp = 4
/
ATOMIC_SPECIES
Ba 137.33 Ba.upf
Np 237.00 Np.upf
Pa 231.04 Pa.upf
O 16.00 O.upf
CELL_PARAMETERS angstrom
-0.5347 -1.3233 -5.8317
5.4440 0.7056 2.4312
0.3123 -10.5921 2.3749
ATOMIC_POSITIONS angstrom
Ba 0.0000 0.0000 0.0000
Ba 0.1561 -5.2961 1.1875
Np 1.5363 -3.2950 -2.4836
Np 3.6853 -7.9148 1.4581
Pa 3.5292 -2.6187 0.2707
Pa 1.6924 -8.5911 -1.2962
O 3.0898 -1.9771 -1.7826
O 1.5543 -2.6397 -4.5360
O 5.4196 -6.6770 1.7777
O 3.6672 -8.5702 3.5105
O 1.9459 -3.9468 -0.4713
O 2.9547 -4.5878 -3.4629
O 5.3507 -9.1237 0.8203
O -0.1980 -4.5328 -2.8032
O 2.2668 -6.6221 2.4374
O -0.1292 -2.0861 -1.8458
O 3.2756 -7.2631 -0.5542
O 2.1317 -9.2328 0.7571
! - Space-group type: P-31c, No. 163
! - Total energy: -9.220 eV per atom


! PBE-GGA Ba2Np3PaO12, optimized geometry; values from VASP
&SYSTEM
  ibrav = 0, nat = 18, ntyp = 4
/
ATOMIC_SPECIES
Ba 137.33 Ba.upf
Np 237.00 Np.upf
Pa 231.04 Pa.upf
O 16.00 O.upf
CELL_PARAMETERS angstrom
8.0451 0.0548 0.0389
4.0207 6.9685 0.0389
4.0207 2.3404 6.5639
ATOMIC_POSITIONS angstrom
Ba 11.1349 6.4814 4.5972
Ba 4.9517 2.8823 2.0444
Np 4.0226 0.0274 0.0194
Np 2.0104 3.4843 0.0194
Np 2.0104 1.1702 3.2819
Pa 0.0000 0.0000 0.0000
O 7.6469 4.4511 6.3143
O 12.5047 7.2787 2.2097
O 10.0812 8.6551 6.1390
O 10.2378 2.9797 2.1134
O 12.5047 4.4917 6.1390
O 7.6469 7.4307 2.1134
O 8.4397 4.9126 0.3273
O 3.5819 2.0850 4.4319
O 6.0054 0.7086 0.5026
O 5.8488 6.3841 4.5281
O 3.5819 4.8720 0.5026
O 8.4397 1.9330 4.5281
! - Space-group type: R-3m, No. 166
! - Total energy: -9.226 eV per atom


! PBE-GGA Ba3Np2PaO9, optimized geometry; values from VASP
&SYSTEM
  ibrav = 0, nat = 15, ntyp = 4
/
ATOMIC_SPECIES
Ba 137.33 Ba.upf
Np 237.00 Np.upf
Pa 231.04 Pa.upf
O 16.00 O.upf
CELL_PARAMETERS angstrom
6.3115 0.0000 0.0000
-3.1558 5.4659 0.0000
0.0000 0.0000 7.7342
ATOMIC_POSITIONS angstrom
Ba 0.0000 3.6440 5.2543
Ba 0.0000 0.0000 0.0000
Ba 3.1558 1.8220 2.4799
Np 0.0000 3.6440 1.2822
Np 3.1558 1.8220 6.4520
Pa 0.0000 0.0000 3.8671
O 4.7644 0.8933 5.1472
O 3.1558 3.6794 5.1472
O 1.5472 0.8933 5.1472
O 1.6086 4.5727 2.5870
O 0.0000 1.7865 2.5870
O -1.6086 4.5727 2.5870
O 3.1558 0.0000 0.0000
O -1.5779 2.7330 0.0000
O 1.5779 2.7330 0.0000
! - Space-group type: P-3m1, No. 164
! - Total energy: -8.753 eV per atom


! PBE-GGA Ba4Np3PbO12, optimized geometry; values from VASP
&SYSTEM
  ibrav = 0, nat = 20, ntyp = 4
/
ATOMIC_SPECIES
Ba 137.33 Ba.upf
Np 237.00 Np.upf
Pb 207.20 Pb.upf
O 16.00 O.upf
CELL_PARAMETERS angstrom
-1.7027 7.5379 0.0807
-6.4359 -4.1077 1.1963
5.1170 -1.5451 5.5816
ATOMIC_POSITIONS angstrom
Ba -1.5108 0.9426 3.4293
Ba 2.5585 -0.7725 2.7908
Ba -0.8513 3.7689 0.0404
Ba -3.2180 -2.0538 0.5982
Np 1.7072 2.9964 2.8312
Np -4.0693 1.7151 0.6385
Np -0.6595 -2.8264 3.3890
Pb 0.0000 0.0000 0.0000
O 0.1941 -1.3282 4.8046
O 2.4905 4.3713 4.1303
O 0.9238 1.6215 1.5321
O -3.2157 3.2133 2.0541
O -5.9365 2.5021 0.9315
O -2.2021 0.9281 0.3455
O -0.3275 3.8540 3.1504
O -2.6941 -1.9688 3.7083
O 1.3774 1.5832 4.5257
O -0.9621 -4.1232 4.9440
O -4.3990 0.3019 2.3330
O -0.3569 -1.5295 1.8340
! - Space-group type: Im-3m, No. 229
! - Total energy: -8.238 eV per atom


! PBE-GGA BaNpPb2O8, optimized geometry; values from VASP
&SYSTEM
  ibrav = 0, nat = 12, ntyp = 4
/
ATOMIC_SPECIES
Ba 137.33 Ba.upf
Np 237.00 Np.upf
Pb 207.20 Pb.upf
O 16.00 O.upf
CELL_PARAMETERS angstrom
5.3455 0.0248 -0.0033
0.0713 5.3505 -0.0060
0.0046 0.0079 7.2526
ATOMIC_POSITIONS angstrom
Ba 0.0023 0.0040 3.6263
Np 0.0000 0.0000 0.0000
Pb 2.7119 2.6937 5.4686
Pb 2.7096 2.6896 1.7747
O 1.0254 4.3801 1.3872
O 3.7854 3.7640 -0.0065
O 4.3932 0.9983 1.3888
O 4.3960 1.0032 5.8561
O 1.6360 1.6193 7.2498
O 1.0283 4.3850 5.8544
O 3.6208 3.6184 3.6200
O 1.8007 1.7649 3.6232
! - Space-group type: P2/m, No. 10
! - Total energy: -6.932 eV per atom


! PBE-GGA Ba2NpPbO6, optimized geometry; values from VASP
&SYSTEM
  ibrav = 0, nat = 10, ntyp = 4
/
ATOMIC_SPECIES
Ba 137.33 Ba.upf
Np 237.00 Np.upf
Pb 207.20 Pb.upf
O 16.00 O.upf
CELL_PARAMETERS angstrom
-5.5947 -1.2818 -2.8194
-1.8137 -3.2415 5.0727
1.8877 5.9628 0.5890
ATOMIC_POSITIONS angstrom
Ba -0.8238 1.8547 0.8906
Ba -4.6969 -0.4152 1.9516
Np -0.9068 -1.6207 2.5363
Pb -2.7974 -0.6409 -1.4097
O -2.2446 -0.1039 3.0273
O 0.3546 4.3960 1.1324
O -5.0359 -1.4561 -0.6381
O -0.4848 2.8956 3.4804
O -5.8754 -2.9564 1.7098
O -3.2761 1.5434 -0.1851
! - Space-group type: C2/m, No. 12
! - Total energy: -7.599 eV per atom


The calculation returns the following raw formation energy values, one per record and in order: -2.43 -2.57 -2.55 -2.71 -2.67 -3.11 -3.21 -3.02 -3.03 -2.75 -1.77 -2.58 eV/atom.